Entry 1:
Compound: LiGaGe
Source: the Alexandria database
Functional: PBE-GGA
Structure: optimized geometry

The space group is Pma2 (No. 28) and the conventional cell measures 4.671, 7.952 and 2.819 Å, with angles of 90.00, 90.00 and 90.00 degrees. The distinct sites, in fractional coordinates, are Li at (0.250, 0.247, 0.000), Ga at (0.250, 0.579, 0.499) and Ge at (0.250, 0.913, 0.501).



Entry 2:
Compound: Li3GaGe2
Source: the Alexandria database
Functional: PBE-GGA
Structure: optimized geometry

The space group is Cmmm (No. 65) and the conventional cell measures 3.920, 11.741 and 4.139 Å, with angles of 90.00, 90.00 and 90.00 degrees. The distinct sites, in fractional coordinates, are Li at (0.000, 0.000, 0.000), Li at (0.000, 0.331, 0.000), Ga at (0.000, 0.500, 0.500) and Ge at (0.000, 0.169, 0.500).



Entry 3:
Compound: Li2GaGe2
Source: the Alexandria database
Functional: PBE-GGA
Structure: optimized geometry

The space group is I4/mmm (No. 139) and the conventional cell measures 3.894, 3.894 and 11.787 Å, with angles of 90.00, 90.00 and 90.00 degrees. The distinct sites, in fractional coordinates, are Li at (0.000, 0.500, 0.250), Ga at (0.000, 0.000, 0.000) and Ge at (0.000, 0.000, 0.399).



Entry 4:
Compound: Li6GaGe2
Source: the Alexandria database
Functional: PBE-GGA
Structure: optimized geometry

The space group is C2/m (No. 12) and the conventional cell measures 13.134, 7.660 and 2.720 Å, with angles of 90.00, 90.25 and 90.00 degrees. The distinct sites, in fractional coordinates, are Li at (0.000, 0.163, 0.000), Li at (0.168, 0.331, 0.004), Ga at (0.000, 0.500, 0.500) and Ge at (0.167, 0.000, 0.499).



Entry 5:
Compound: LiGaGe
Source: the Alexandria database
Functional: PBE-GGA
Structure: optimized geometry

The space group is Cm (No. 8) and the conventional cell measures 8.333, 7.122 and 4.409 Å, with angles of 90.00, 121.34 and 90.00 degrees. The distinct sites, in fractional coordinates, are Li at (0.000, 0.000, 0.000), Li at (0.008, 0.500, 0.254), Ga at (0.317, 0.182, 0.562) and Ge at (0.185, 0.316, 0.931).



Entry 6:
Compound: LiGaGe
Source: the Alexandria database
Functional: PBE-GGA
Structure: optimized geometry

The space group is Pmmm (No. 47) and the conventional cell measures 2.905, 4.308 and 8.355 Å, with angles of 90.00, 90.00 and 90.00 degrees. The distinct sites, in fractional coordinates, are Li at (0.000, 0.000, 0.000), Li at (0.000, 0.500, 0.500), Ga at (0.500, 0.000, 0.340) and Ge at (0.500, 0.500, 0.165).



Entry 7:
Compound: LiGaGe
Source: the Alexandria database
Functional: PBE-GGA
Structure: optimized geometry

The space group is Pnma (No. 62) and the conventional cell measures 5.585, 4.046 and 9.113 Å, with angles of 90.00, 90.00 and 90.00 degrees. The distinct sites, in fractional coordinates, are Li at (0.128, 0.250, 0.089), Ga at (0.111, 0.250, 0.746) and Ge at (0.127, 0.250, 0.424).



Entry 8:
Compound: Li8GaGe2
Source: the Alexandria database
Functional: PBE-GGA
Structure: optimized geometry

The space group is C2/m (No. 12) and the conventional cell measures 13.443, 4.377 and 6.883 Å, with angles of 90.00, 119.18 and 90.00 degrees. The distinct sites, in fractional coordinates, are Li at (0.023, 0.000, 0.217), Li at (0.121, 0.500, 0.945), Li at (0.155, 0.000, 0.712), Li at (0.170, 0.500, 0.389), Ga at (0.000, 0.500, 0.500) and Ge at (0.210, 0.000, 0.172).



Entry 9:
Compound: LiGaGe
Source: the Alexandria database
Functional: PBE-GGA
Structure: optimized geometry

The space group is P-1 (No. 2) and the conventional cell measures 2.906, 5.248 and 7.144 Å, with angles of 72.23, 89.96 and 89.40 degrees. The distinct sites, in fractional coordinates, are Li at (0.001, 0.097, 0.177), Ga at (0.497, 0.244, 0.500) and Ge at (0.498, 0.391, 0.846).



Entry 10:
Compound: Li6Ga5Ge
Source: the Alexandria database
Functional: PBE-GGA
Structure: optimized geometry

The space group is Immm (No. 71) and the conventional cell measures 3.892, 8.255 and 11.855 Å, with angles of 90.00, 90.00 and 90.00 degrees. The distinct sites, in fractional coordinates, are Li at (0.000, 0.243, 0.000), Li at (0.000, 0.253, 0.334), Ga at (0.000, 0.000, 0.166), Ga at (0.000, 0.000, 0.500), Ga at (0.000, 0.500, 0.164) and Ge at (0.000, 0.500, 0.500).



Entry 11:
Compound: LiGaGe
Source: the Alexandria database
Functional: PBE-GGA
Structure: optimized geometry

The space group is Cmcm (No. 63) and the conventional cell measures 3.843, 13.356 and 4.033 Å, with angles of 90.00, 90.00 and 90.00 degrees. The distinct sites, in fractional coordinates, are Li at (0.000, 0.087, 0.250), Ga at (0.000, 0.231, 0.750) and Ge at (0.000, 0.435, 0.250).



Entry 12:
Compound: LiGaGe2
Source: the Alexandria database
Functional: PBE-GGA
Structure: optimized geometry

The space group is P4/mmm (No. 123) and the conventional cell measures 4.166, 4.166 and 4.008 Å, with angles of 90.00, 90.00 and 90.00 degrees. The distinct sites, in fractional coordinates, are Li at (0.000, 0.000, 0.000), Ga at (0.500, 0.500, 0.000) and Ge at (0.000, 0.500, 0.500).



Number 1: total DFT energy (no corrections) -3.312 eV/atom, ΔE_f -126 meV/atom. Number 2: total DFT energy (no corrections) -3.282 eV/atom, ΔE_f -282 meV/atom. Number 3: total DFT energy (no corrections) -3.272 eV/atom, ΔE_f -54 meV/atom. Number 4: total DFT energy (no corrections) -2.941 eV/atom, ΔE_f -302 meV/atom. Number 5: total DFT energy (no corrections) -3.370 eV/atom, ΔE_f -184 meV/atom. Number 6: total DFT energy (no corrections) -3.316 eV/atom, ΔE_f -130 meV/atom. Number 7: total DFT energy (no corrections) -3.322 eV/atom, ΔE_f -136 meV/atom. Number 8: total DFT energy (no corrections) -2.759 eV/atom, ΔE_f -253 meV/atom. Number 9: total DFT energy (no corrections) -3.312 eV/atom, ΔE_f -126 meV/atom. Number 10: total DFT energy (no corrections) -2.882 eV/atom, ΔE_f -279 meV/atom. Number 11: total DFT energy (no corrections) -3.345 eV/atom, ΔE_f -159 meV/atom. Number 12: total DFT energy (no corrections) -3.634 eV/atom, ΔE_f -91 meV/atom.